Density functional theory data (PBE) for an optimized crystal structure of Tl3ZnRe.

CIF file:
```
data_Tl3ZnRe
_cell_length_a 5.237
_cell_length_b 5.237
_cell_length_c 5.237
_cell_angle_alpha 90.00
_cell_angle_beta 90.00
_cell_angle_gamma 90.00
_symmetry_space_group_name_H-M 'P m -3 m'
_symmetry_Int_Tables_number 221
_symmetry_space_group_name_Hall '-P 4 2 3'
loop_
_atom_site_label
_atom_site_fract_x
_atom_site_fract_y
_atom_site_fract_z
Tl1 0.000 0.000 0.500
Zn1 0.000 0.000 0.000
Re1 0.500 0.500 0.500
```

- VASP energy (Ha/atom) = -0.103

***

Density functional theory data (PBE) for an optimized crystal structure of Tl2ZnRe.

CIF file:
```
data_Tl2ZnRe
_cell_length_a 2.890
_cell_length_b 4.833
_cell_length_c 13.124
_cell_angle_alpha 90.00
_cell_angle_beta 90.00
_cell_angle_gamma 90.00
_symmetry_space_group_name_H-M 'I m m 2'
_symmetry_Int_Tables_number 44
loop_
_symmetry_equiv_pos_as_xyz
'x,y,z'
'-x,-y,z'
'-x,y,z'
'x,-y,z'
'x+1/2,y+1/2,z+1/2'
'-x+1/2,-y+1/2,z+1/2'
'-x+1/2,y+1/2,z+1/2'
'x+1/2,-y+1/2,z+1/2'
loop_
_atom_site_label
_atom_site_fract_x
_atom_site_fract_y
_atom_site_fract_z
Tl1 0.000 0.000 0.000
Tl2 0.000 0.500 0.204
Zn1 0.000 0.500 0.829
Re1 0.000 0.000 0.498
```

- VASP energy (Ha/atom) = -0.145

***

Density functional theory data (PBE) for an optimized crystal structure of Tl2ZnRe.

CIF file:
```
data_Tl2ZnRe
_cell_length_a 3.941
_cell_length_b 4.442
_cell_length_c 8.847
_cell_angle_alpha 90.00
_cell_angle_beta 90.00
_cell_angle_gamma 90.00
_symmetry_space_group_name_H-M 'I m m m'
_symmetry_Int_Tables_number 71
_symmetry_space_group_name_Hall '-I 2 2'
loop_
_atom_site_label
_atom_site_fract_x
_atom_site_fract_y
_atom_site_fract_z
Tl1 0.000 0.000 0.244
Zn1 0.000 0.500 0.500
Re1 0.000 0.500 0.000
```

- VASP energy (Ha/atom) = -0.137

***

Density functional theory data (PBE) for an optimized crystal structure of Tl2ZnRe.

CIF file:
```
data_Tl2ZnRe
_cell_length_a 10.267
_cell_length_b 2.949
_cell_length_c 5.317
_cell_angle_alpha 90.00
_cell_angle_beta 96.09
_cell_angle_gamma 90.00
_symmetry_space_group_name_H-M 'C 1 2/m 1'
_symmetry_Int_Tables_number 12
loop_
_symmetry_equiv_pos_as_xyz
'x,y,z'
'-x,-y,-z'
'-x,y,-z'
'x,-y,z'
'x+1/2,y+1/2,z'
'-x+1/2,-y+1/2,-z'
'-x+1/2,y+1/2,-z'
'x+1/2,-y+1/2,z'
loop_
_atom_site_label
_atom_site_fract_x
_atom_site_fract_y
_atom_site_fract_z
Tl1 0.238 0.000 0.244
Zn1 0.000 0.000 0.500
Re1 0.000 0.500 0.000
```

- VASP energy (Ha/atom) = -0.138

***

Density functional theory data (PBE) for an optimized crystal structure of Tl2ZnRe.

CIF file:
```
data_Tl2ZnRe
_cell_length_a 2.934
_cell_length_b 5.121
_cell_length_c 5.386
_cell_angle_alpha 90.00
_cell_angle_beta 92.28
_cell_angle_gamma 90.00
_symmetry_space_group_name_H-M 'P 1 2/m 1'
_symmetry_Int_Tables_number 10
loop_
_symmetry_equiv_pos_as_xyz
'x,y,z'
'-x,-y,-z'
'-x,y,-z'
'x,-y,z'
loop_
_atom_site_label
_atom_site_fract_x
_atom_site_fract_y
_atom_site_fract_z
Tl1 0.249 0.000 0.251
Zn1 0.000 0.500 0.000
Re1 0.500 0.500 0.500
```

- VASP energy (Ha/atom) = -0.137

***

Density functional theory data (PBE) for an optimized crystal structure of Tl2ZnRe.

CIF file:
```
data_Tl2ZnRe
_cell_length_a 3.014
_cell_length_b 3.014
_cell_length_c 9.499
_cell_angle_alpha 90.00
_cell_angle_beta 90.00
_cell_angle_gamma 90.00
_symmetry_space_group_name_H-M 'P 4 m m'
_symmetry_Int_Tables_number 99
loop_
_symmetry_equiv_pos_as_xyz
'x,y,z'
'-y,x,z'
'-x,-y,z'
'y,-x,z'
'-x,y,z'
'y,x,z'
'x,-y,z'
'-y,-x,z'
loop_
_atom_site_label
_atom_site_fract_x
_atom_site_fract_y
_atom_site_fract_z
Tl1 0.000 0.000 0.000
Tl2 0.500 0.500 0.327
Zn1 0.000 0.000 0.592
Re1 0.500 0.500 0.759
```

- VASP energy (Ha/atom) = -0.146

***

Density functional theory data (PBE) for an optimized crystal structure of Tl2ZnRe.

CIF file:
```
data_Tl2ZnRe
_cell_length_a 4.094
_cell_length_b 4.094
_cell_length_c 9.254
_cell_angle_alpha 90.00
_cell_angle_beta 90.00
_cell_angle_gamma 90.00
_symmetry_space_group_name_H-M 'I -4 m 2'
_symmetry_Int_Tables_number 119
_symmetry_space_group_name_Hall 'I -4 -2'
loop_
_atom_site_label
_atom_site_fract_x
_atom_site_fract_y
_atom_site_fract_z
Tl1 0.000 0.000 0.000
Tl2 0.000 0.500 0.250
Zn1 0.000 0.500 0.750
Re1 0.000 0.000 0.500
```

- VASP energy (Ha/atom) = -0.139

***

Density functional theory data (PBE) for an optimized crystal structure of TlZnRe4.

CIF file:
```
data_TlZnRe4
_cell_length_a 7.464
_cell_length_b 7.464
_cell_length_c 7.464
_cell_angle_alpha 90.00
_cell_angle_beta 90.00
_cell_angle_gamma 90.00
_symmetry_space_group_name_H-M 'F -4 3 m'
_symmetry_Int_Tables_number 216
_symmetry_space_group_name_Hall 'F -4 2 3'
loop_
_atom_site_label
_atom_site_fract_x
_atom_site_fract_y
_atom_site_fract_z
Tl1 0.000 0.000 0.000
Zn1 0.250 0.250 0.750
Re1 0.125 0.125 0.375
```

- VASP energy (Ha/atom) = -0.299

***

Density functional theory data (PBE) for an optimized crystal structure of Tl2ZnRe.

CIF file:
```
data_Tl2ZnRe
_cell_length_a 3.235
_cell_length_b 4.861
_cell_length_c 11.290
_cell_angle_alpha 90.00
_cell_angle_beta 90.00
_cell_angle_gamma 90.00
_symmetry_space_group_name_H-M 'C m m m'
_symmetry_Int_Tables_number 65
_symmetry_space_group_name_Hall '-C 2 2'
loop_
_atom_site_label
_atom_site_fract_x
_atom_site_fract_y
_atom_site_fract_z
Tl1 0.000 0.000 0.228
Zn1 0.000 0.500 0.500
Re1 0.000 0.500 0.000
```

- VASP energy (Ha/atom) = -0.139

***

Density functional theory data (PBE) for an optimized crystal structure of Tl2ZnRe.

CIF file:
```
data_Tl2ZnRe
_cell_length_a 4.215
_cell_length_b 4.215
_cell_length_c 19.685
_cell_angle_alpha 90.00
_cell_angle_beta 90.00
_cell_angle_gamma 90.00
_symmetry_space_group_name_H-M 'I -4 2 d'
_symmetry_Int_Tables_number 122
_symmetry_space_group_name_Hall 'I -4 2bw'
loop_
_atom_site_label
_atom_site_fract_x
_atom_site_fract_y
_atom_site_fract_z
Tl1 0.240 0.250 0.125
Zn1 0.000 0.000 0.500
Re1 0.000 0.000 0.000
```

- VASP energy (Ha/atom) = -0.129

***

Density functional theory data (PBE) for an optimized crystal structure of Tl2ZnRe.

CIF file:
```
data_Tl2ZnRe
_cell_length_a 6.216
_cell_length_b 8.056
_cell_length_c 3.170
_cell_angle_alpha 90.00
_cell_angle_beta 90.00
_cell_angle_gamma 90.00
_symmetry_space_group_name_H-M 'C m m m'
_symmetry_Int_Tables_number 65
_symmetry_space_group_name_Hall '-C 2 2'
loop_
_atom_site_label
_atom_site_fract_x
_atom_site_fract_y
_atom_site_fract_z
Tl1 0.250 0.250 0.000
Zn1 0.000 0.000 0.500
Re1 0.000 0.500 0.500
```

- VASP energy (Ha/atom) = -0.136

***

Density functional theory data (PBE) for an optimized crystal structure of Tl3ZnRe.

CIF file:
```
data_Tl3ZnRe
_cell_length_a 5.365
_cell_length_b 5.365
_cell_length_c 5.365
_cell_angle_alpha 90.00
_cell_angle_beta 90.00
_cell_angle_gamma 90.00
_symmetry_space_group_name_H-M 'P m -3 m'
_symmetry_Int_Tables_number 221
_symmetry_space_group_name_Hall '-P 4 2 3'
loop_
_atom_site_label
_atom_site_fract_x
_atom_site_fract_y
_atom_site_fract_z
Tl1 0.000 0.000 0.500
Zn1 0.500 0.500 0.500
Re1 0.000 0.000 0.000
```

- VASP energy (Ha/atom) = -0.127

***

Density functional theory data (PBE) for an optimized crystal structure of Zr3TlRe.

CIF file:
```
data_Zr3TlRe
_cell_length_a 5.092
_cell_length_b 5.092
_cell_length_c 5.092
_cell_angle_alpha 90.00
_cell_angle_beta 90.00
_cell_angle_gamma 90.00
_symmetry_space_group_name_H-M 'P m -3 m'
_symmetry_Int_Tables_number 221
_symmetry_space_group_name_Hall '-P 4 2 3'
loop_
_atom_site_label
_atom_site_fract_x
_atom_site_fract_y
_atom_site_fract_z
Zr1 0.000 0.000 0.500
Tl1 0.500 0.500 0.500
Re1 0.000 0.000 0.000
```

- VASP energy (Ha/atom) = -0.279

***

Density functional theory data (PBE) for an optimized crystal structure of Zr3TlRe.

CIF file:
```
data_Zr3TlRe
_cell_length_a 5.183
_cell_length_b 5.183
_cell_length_c 5.183
_cell_angle_alpha 90.00
_cell_angle_beta 90.00
_cell_angle_gamma 90.00
_symmetry_space_group_name_H-M 'P m -3 m'
_symmetry_Int_Tables_number 221
_symmetry_space_group_name_Hall '-P 4 2 3'
loop_
_atom_site_label
_atom_site_fract_x
_atom_site_fract_y
_atom_site_fract_z
Zr1 0.000 0.000 0.500
Tl1 0.000 0.000 0.000
Re1 0.500 0.500 0.500
```

- VASP energy (Ha/atom) = -0.227

***

Density functional theory data (PBE) for an optimized crystal structure of ZrTl2Re.

CIF file:
```
data_ZrTl2Re
_cell_length_a 3.452
_cell_length_b 5.204
_cell_length_c 10.326
_cell_angle_alpha 90.00
_cell_angle_beta 90.00
_cell_angle_gamma 90.00
_symmetry_space_group_name_H-M 'C m m 2'
_symmetry_Int_Tables_number 35
loop_
_symmetry_equiv_pos_as_xyz
'x,y,z'
'-x,-y,z'
'-x,y,z'
'x,-y,z'
'x+1/2,y+1/2,z'
'-x+1/2,-y+1/2,z'
'-x+1/2,y+1/2,z'
'x+1/2,-y+1/2,z'
loop_
_atom_site_label
_atom_site_fract_x
_atom_site_fract_y
_atom_site_fract_z
Zr1 0.000 0.000 0.000
Tl1 0.000 0.000 0.569
Tl2 0.000 0.500 0.269
Re1 0.000 0.500 0.810
```

- VASP energy (Ha/atom) = -0.222

***

Density functional theory data (PBE) for an optimized crystal structure of Zr2TlRe.

CIF file:
```
data_Zr2TlRe
_cell_length_a 8.144
_cell_length_b 3.242
_cell_length_c 6.917
_cell_angle_alpha 90.00
_cell_angle_beta 98.01
_cell_angle_gamma 90.00
_symmetry_space_group_name_H-M 'C 1 2/m 1'
_symmetry_Int_Tables_number 12
loop_
_symmetry_equiv_pos_as_xyz
'x,y,z'
'-x,-y,-z'
'-x,y,-z'
'x,-y,z'
'x+1/2,y+1/2,z'
'-x+1/2,-y+1/2,-z'
'-x+1/2,y+1/2,-z'
'x+1/2,-y+1/2,z'
loop_
_atom_site_label
_atom_site_fract_x
_atom_site_fract_y
_atom_site_fract_z
Zr1 0.244 0.000 0.203
Tl1 0.000 0.000 0.500
Re1 0.000 0.500 0.000
```

- VASP energy (Ha/atom) = -0.286

***

Density functional theory data (PBE) for an optimized crystal structure of ZrTl2Re.

CIF file:
```
data_ZrTl2Re
_cell_length_a 5.951
_cell_length_b 9.204
_cell_length_c 3.067
_cell_angle_alpha 90.00
_cell_angle_beta 90.00
_cell_angle_gamma 90.00
_symmetry_space_group_name_H-M 'C m m m'
_symmetry_Int_Tables_number 65
_symmetry_space_group_name_Hall '-C 2 2'
loop_
_atom_site_label
_atom_site_fract_x
_atom_site_fract_y
_atom_site_fract_z
Zr1 0.000 0.000 0.000
Tl1 0.250 0.250 0.500
Re1 0.000 0.500 0.000
```

- VASP energy (Ha/atom) = -0.210

***

Density functional theory data (PBE) for an optimized crystal structure of Zr2TlRe.

CIF file:
```
data_Zr2TlRe
_cell_length_a 11.139
_cell_length_b 3.443
_cell_length_c 4.807
_cell_angle_alpha 90.00
_cell_angle_beta 115.50
_cell_angle_gamma 90.00
_symmetry_space_group_name_H-M 'C 1 m 1'
_symmetry_Int_Tables_number 8
loop_
_symmetry_equiv_pos_as_xyz
'x,y,z'
'x,-y,z'
'x+1/2,y+1/2,z'
'x+1/2,-y+1/2,z'
loop_
_atom_site_label
_atom_site_fract_x
_atom_site_fract_y
_atom_site_fract_z
Zr1 0.000 0.000 0.000
Zr2 0.224 0.000 0.724
Tl1 0.447 0.000 0.447
Re1 0.210 0.500 0.212
```

- VASP energy (Ha/atom) = -0.291

***

Density functional theory data (PBE) for an optimized crystal structure of ZrTl2Re.

CIF file:
```
data_ZrTl2Re
_cell_length_a 9.882
_cell_length_b 3.484
_cell_length_c 5.009
_cell_angle_alpha 90.00
_cell_angle_beta 104.37
_cell_angle_gamma 90.00
_symmetry_space_group_name_H-M 'C 1 2/m 1'
_symmetry_Int_Tables_number 12
loop_
_symmetry_equiv_pos_as_xyz
'x,y,z'
'-x,-y,-z'
'-x,y,-z'
'x,-y,z'
'x+1/2,y+1/2,z'
'-x+1/2,-y+1/2,-z'
'-x+1/2,y+1/2,-z'
'x+1/2,-y+1/2,z'
loop_
_atom_site_label
_atom_site_fract_x
_atom_site_fract_y
_atom_site_fract_z
Zr1 0.000 0.000 0.000
Tl1 0.240 0.000 0.734
Re1 0.000 0.500 0.500
```

- VASP energy (Ha/atom) = -0.218

***

Density functional theory data (PBE) for an optimized crystal structure of ZrTl2Re.

CIF file:
```
data_ZrTl2Re
_cell_length_a 6.984
_cell_length_b 6.984
_cell_length_c 6.984
_cell_angle_alpha 90.00
_cell_angle_beta 90.00
_cell_angle_gamma 90.00
_symmetry_space_group_name_H-M 'F -4 3 m'
_symmetry_Int_Tables_number 216
_symmetry_space_group_name_Hall 'F -4 2 3'
loop_
_atom_site_label
_atom_site_fract_x
_atom_site_fract_y
_atom_site_fract_z
Zr1 0.000 0.000 0.000
Tl1 0.000 0.000 0.500
Tl2 0.250 0.250 0.750
Re1 0.250 0.250 0.250
```

- VASP energy (Ha/atom) = -0.210